# 1
Computed, not measured: TaTcPb2 after structural relaxation at the PBE level of DFT.

Cell and atoms, written as POSCAR:
```
TaTcPb2
1.0
-3.4418 0.1835 0.0251
-0.2508 -4.3059 -2.9057
-0.1102 -2.5946 3.8544
Pb Ta Tc
2 1 1
Cartesian
0.0000 0.0000 0.0000
-1.8463 -2.0612 -1.4403
-1.7760 -1.2056 1.9398
-0.1805 -3.4503 0.4743
```

The calculation puts the uncorrected energy at -6.60 eV/atom. The calculation puts the density of states at the Fermi level at 3.97 states/eV/cell. The symmetry is Pmmm (47). The value obtained for the formation energy is 0.806 eV per atom.

=====

# 2
Computed, not measured: TaTcPb2 after structural relaxation at the PBE level of DFT.

Cell and atoms, written as POSCAR:
```
TaTcPb2
1.0
-4.0020 2.3881 1.4881
-2.5240 -4.1903 -0.0635
0.8569 -0.5648 3.2110
Pb Ta Tc
2 1 1
Cartesian
0.0000 0.0000 0.0000
-3.2630 -0.9011 0.7123
-1.5726 0.9116 2.3495
-0.8336 -2.3776 1.5738
```

The calculation puts the uncorrected energy at -6.63 eV/atom. The calculation puts the density of states at the Fermi level at 3.91 states/eV/cell. The symmetry is P4/mmm (123). The value obtained for the formation energy is 0.775 eV per atom.

=====

# 3
Computed, not measured: Ta2TcPb after structural relaxation at the PBE level of DFT.

Cell and atoms, written as POSCAR:
```
Ta2TcPb
1.0
-6.4167 1.7927 6.2869
-4.1973 0.4441 8.1301
-4.0164 3.5456 7.4304
Pb Ta Tc
1 2 1
Cartesian
-10.9728 4.3367 16.3855
-14.4486 5.7105 21.5758
-7.4971 2.9630 11.1952
-3.6576 1.4456 5.4618
```

The calculation puts the uncorrected energy at -9.07 eV/atom. The calculation puts the density of states at the Fermi level at 4.83 states/eV/cell. The symmetry is R-3m (166). The value obtained for the formation energy is 0.370 eV per atom.

=====

# 4
Computed, not measured: Ta2TcPb after structural relaxation at the PBE level of DFT.

Cell and atoms, written as POSCAR:
```
Ta2TcPb
1.0
-4.9380 1.5766 -0.9103
-3.5924 -3.6838 1.1058
4.0820 2.0470 2.6164
Pb Ta Tc
1 2 1
Cartesian
-2.5606 1.2850 0.9019
0.0000 0.0000 0.0000
-1.8878 -1.3452 1.9100
-4.2652 -1.0536 0.0977
```

The calculation puts the uncorrected energy at -9.05 eV/atom. The calculation puts the density of states at the Fermi level at 3.78 states/eV/cell. The symmetry is I-4m2 (119). The value obtained for the formation energy is 0.394 eV per atom.

=====

# 5
Computed, not measured: TaTcPb2 after structural relaxation at the PBE level of DFT.

Cell and atoms, written as POSCAR:
```
TaTcPb2
1.0
-1.8892 3.2749 2.5251
0.9728 -1.5071 2.6824
5.1315 2.5287 0.5597
Pb Ta Tc
2 1 1
Cartesian
6.0322 1.0529 3.1475
3.1242 0.4794 1.7157
0.5815 1.8928 2.0731
3.6336 2.4036 3.6941
```

The calculation puts the uncorrected energy at -6.63 eV/atom. The calculation puts the density of states at the Fermi level at 3.55 states/eV/cell. The symmetry is P2/m (10). The value obtained for the formation energy is 0.781 eV per atom.

=====

# 6
Computed, not measured: Ta2TcPb after structural relaxation at the PBE level of DFT.

Cell and atoms, written as POSCAR:
```
Ta2TcPb
1.0
-1.0724 0.6259 -5.3228
1.6944 -1.2935 -5.0329
-2.2816 -3.5796 -1.9251
Pb Ta Tc
1 2 1
Cartesian
-0.4468 -1.0977 -3.0037
-2.2452 -3.5394 -2.0067
-1.2231 -3.1681 -9.3019
-0.8560 -2.1452 -6.0339
```

The calculation puts the uncorrected energy at -9.13 eV/atom. The calculation puts the density of states at the Fermi level at 3.97 states/eV/cell. The symmetry is Cm (8). The value obtained for the formation energy is 0.314 eV per atom.

=====

# 7
Computed, not measured: Ta2TcPb after structural relaxation at the PBE level of DFT.

Cell and atoms, written as POSCAR:
```
Ta2TcPb
1.0
-2.4020 -1.7967 -0.8456
1.3247 -0.4612 -2.7830
3.8097 -6.4494 2.8820
Pb Ta Tc
1 2 1
Cartesian
2.3187 -5.9660 0.3472
0.1932 -0.3271 0.1462
1.7117 -2.8976 1.2949
0.4138 -2.7413 -1.0938
```

The calculation puts the uncorrected energy at -9.26 eV/atom. The calculation puts the density of states at the Fermi level at 3.29 states/eV/cell. The symmetry is P4/mmm (123). The value obtained for the formation energy is 0.187 eV per atom.

=====

# 8
Computed, not measured: Ta2TcPb after structural relaxation at the PBE level of DFT.

Cell and atoms, written as POSCAR:
```
Ta2TcPb
1.0
-1.6687 2.7234 -0.1441
-1.0741 -0.5010 2.9694
5.9493 3.7931 2.7920
Pb Ta Tc
1 2 1
Cartesian
2.9719 3.8803 3.4509
0.1917 0.1222 0.0900
0.2756 2.1613 2.1856
2.7420 1.7482 1.2868
```

The calculation puts the uncorrected energy at -9.20 eV/atom. The calculation puts the density of states at the Fermi level at 3.52 states/eV/cell. The symmetry is P4mm (99). The value obtained for the formation energy is 0.246 eV per atom.